! CaGeRu2 | Alexandria | PBE | optimized geometry; values from VASP
&SYSTEM
  ibrav = 0, nat = 8, ntyp = 3
/
ATOMIC_SPECIES
Ca 40.08 Ca.upf
Ge 72.64 Ge.upf
Ru 101.07 Ru.upf
ATOMIC_POSITIONS crystal
Ca 0.0000 0.0000 0.0000
Ca 0.7500 0.2500 0.5000
Ge 0.2500 0.7500 0.5000
Ge 0.5000 0.5000 0.0000
Ru 0.2745 0.6250 0.1495
Ru 0.3750 0.5245 0.6495
Ru 0.4755 0.1250 0.8505
Ru 0.8750 0.7255 0.3505
CELL_PARAMETERS angstrom
-2.2242 2.2242 8.8177
2.2242 -2.2242 8.8177
2.2242 2.2242 -8.8177
! DFT total energy = -0.44303 Ry per atom
! energy relative to the elements = 264.9 meV per atom